Record 1
VASP calculation (PBE) on a relaxed Mg2BeTc crystal.

Results
As for the volume: 58.91 Å³/cell. The formation energy comes out at 0.27 eV per atom. The density of states at the Fermi level comes out at 2.3 states/eV/f.u. The energy is -4.055 eV/atom. Its polymorph energy (0 for the lowest one) is 119.9 meV/atom.

Cell: 4.975 4.975 4.975 Å, 135.86 135.86 64.19°
Atoms (fractional coordinates):
Be (0.750, 0.250, 0.500)
Mg (0.000, 0.000, 0.000)
Mg (0.500, 0.500, 0.000)
Tc (0.250, 0.750, 0.500)

---

Record 2
VASP calculation (PBE) on a relaxed Mg2BeTc crystal.

Results
As for the volume: 61.23 Å³/cell. The formation energy comes out at 0.37 eV per atom. The density of states at the Fermi level comes out at 3.5 states/eV/f.u. The energy is -3.947 eV/atom. Its polymorph energy (0 for the lowest one) is 227.9 meV/atom.

Cell: 2.711 2.711 8.329 Å, 90.00 90.00 90.00°
Atoms (fractional coordinates):
Be (0.500, 0.500, 0.750)
Mg (0.000, 0.000, 0.984)
Mg (0.000, 0.000, 0.516)
Tc (0.500, 0.500, 0.250)